(1)
The following is a PBE-GGA calculation of a relaxed Sr3Te2I2 crystal, from Alexandria.

Lattice parameters (Å, degrees): 8.278 8.278 8.604 103.82 103.82 34.22
Element x y z (fractional)
Sr1 0.000 0.000 0.000
Sr2 0.243 0.243 0.713
Sr3 0.757 0.757 0.287
Te1 0.134 0.134 0.343
Te2 0.866 0.866 0.657
I1 0.372 0.372 0.112
I2 0.628 0.628 0.888

Results
Formation energy (no corrections)   -11.03 eV per formula unit
Space group   C2/m
Crystal system   monoclinic
Distance to the lowest polymorph of the same formula   91 meV/atom

---

(2)
The following is a PBE-GGA calculation of a relaxed CsH crystal, from Alexandria.

Lattice parameters (Å, degrees): 3.825 3.825 3.825 90.00 90.00 90.00
Element x y z (fractional)
Cs1 0.000 0.000 0.000
H1 0.500 0.500 0.500

Results
Space group   Pm-3m
Crystal system   cubic

---

(3)
The following is a PBE-GGA calculation of a relaxed SrTaW crystal, from Alexandria.

Lattice parameters (Å, degrees): 4.986 4.986 2.948 90.00 90.00 120.00
Element x y z (fractional)
Sr1 0.000 0.000 0.000
Ta1 0.667 0.333 0.391
W1 0.333 0.667 0.618

Results
ΔH_f (0 K)   329 kJ/mol of formula units
Space group   P3m1
Crystal system   trigonal
Distance to the lowest polymorph of the same formula   445 meV/atom

---

(4)
The following is a PBE-GGA calculation of a relaxed SnAs2PSe crystal, from Alexandria.

Lattice parameters (Å, degrees): 4.782 4.782 5.020 90.00 90.00 90.00
Element x y z (fractional)
Sn1 0.000 0.000 0.000
As1 0.000 0.500 0.500
As2 0.500 0.000 0.500
P1 0.500 0.500 0.500
Se1 0.500 0.500 0.000

Results
Formation energy (no corrections)   2.16 eV per formula unit
Space group   P4/mmm
Crystal system   tetragonal
Distance to the lowest polymorph of the same formula   0 meV/atom

---

(5)
The following is a PBE-GGA calculation of a relaxed Mn2TlSe crystal, from Alexandria.

Lattice parameters (Å, degrees): 6.105 6.105 6.105 106.15 106.15 116.33
Element x y z (fractional)
Mn1 0.089 0.625 0.964
Mn2 0.375 0.339 0.464
Mn3 0.661 0.125 0.036
Mn4 0.875 0.911 0.536
Tl1 0.250 0.750 0.500
Tl2 0.500 0.500 0.000
Se1 0.000 0.000 0.000
Se2 0.750 0.250 0.500

Results
Formation energy (no corrections)   1.13 eV per formula unit
Space group   I-42d
Crystal system   tetragonal
Distance to the lowest polymorph of the same formula   166 meV/atom

---

(6)
The following is a PBE-GGA calculation of a relaxed PmSc4Hg5 crystal, from Alexandria.

Lattice parameters (Å, degrees): 3.561 3.561 18.074 90.00 90.00 90.00
Element x y z (fractional)
Pm1 0.000 0.000 0.000
Sc1 0.000 0.000 0.212
Sc2 0.000 0.000 0.404
Sc3 0.000 0.000 0.596
Sc4 0.000 0.000 0.788
Hg1 0.500 0.500 0.119
Hg2 0.500 0.500 0.308
Hg3 0.500 0.500 0.500
Hg4 0.500 0.500 0.692
Hg5 0.500 0.500 0.881

Results
ΔH_f (0 K)   -417 kJ/mol of formula units
Space group   P4/mmm
Crystal system   tetragonal

---

(7)
The following is a PBE-GGA calculation of a relaxed MgMnAl2 crystal, from Alexandria.

Lattice parameters (Å, degrees): 5.308 5.308 4.439 114.71 114.71 33.91
Element x y z (fractional)
Mg1 0.000 0.000 0.000
Mn1 0.254 0.254 0.757
Al1 0.531 0.531 0.531
Al2 0.772 0.772 0.274

Results
ΔH_f (0 K)   3 kJ/mol of formula units
Space group   Cm
Crystal system   monoclinic

---

(8)
The following is a PBE-GGA calculation of a relaxed BiBPt3 crystal, from Alexandria.

Lattice parameters (Å, degrees): 5.905 7.754 7.491 90.00 90.00 90.00
Element x y z (fractional)
Bi1 0.100 0.250 0.087
Bi2 0.400 0.750 0.587
Bi3 0.600 0.250 0.413
Bi4 0.900 0.750 0.913
B1 0.000 0.000 0.500
B2 0.000 0.500 0.500
B3 0.500 0.000 0.000
B4 0.500 0.500 0.000
Pt1 0.146 0.250 0.484
Pt2 0.202 0.562 0.283
Pt3 0.202 0.938 0.283
Pt4 0.298 0.062 0.783
Pt5 0.298 0.438 0.783
Pt6 0.354 0.750 0.984
Pt7 0.646 0.250 0.016
Pt8 0.702 0.562 0.217
Pt9 0.702 0.938 0.217
Pt10 0.798 0.062 0.717
Pt11 0.798 0.438 0.717
Pt12 0.854 0.750 0.516

Results
ΔH_f (0 K)   -83 kJ/mol of formula units
Space group   Pnma
Crystal system   orthorhombic
Distance to the lowest polymorph of the same formula   45 meV/atom

---

(9)
The following is a PBE-GGA calculation of a relaxed SbTe2PI crystal, from Alexandria.

Lattice parameters (Å, degrees): 5.826 5.826 5.928 90.00 90.00 90.00
Element x y z (fractional)
Sb1 0.000 0.000 0.000
Te1 0.000 0.500 0.000
Te2 0.500 0.000 0.000
P1 0.500 0.500 0.500
I1 0.000 0.000 0.500

Results
Formation energy (no corrections)   4.59 eV per formula unit
Space group   P4/mmm
Crystal system   tetragonal
Distance to the lowest polymorph of the same formula   450 meV/atom

---

(10)
The following is a PBE-GGA calculation of a relaxed NaCuSn crystal, from Alexandria.

Lattice parameters (Å, degrees): 4.697 4.697 3.295 90.00 90.00 120.00
Element x y z (fractional)
Na1 0.000 0.000 0.000
Cu1 0.667 0.333 0.502
Sn1 0.333 0.667 0.500

Results
ΔH_f (0 K)   -7 kJ/mol of formula units
Space group   P3m1
Crystal system   trigonal

---

(11)
The following is a PBE-GGA calculation of a relaxed TcAg2As crystal, from Alexandria.

Lattice parameters (Å, degrees): 3.210 3.210 6.594 90.00 90.00 90.00
Element x y z (fractional)
Tc1 0.000 0.000 0.000
Ag1 0.000 0.000 0.540
Ag2 0.500 0.500 0.280
As1 0.500 0.500 0.835

Results
ΔH_f (0 K)   59 kJ/mol of formula units
Space group   P4mm
Crystal system   tetragonal

---

(12)
The following is a PBE-GGA calculation of a relaxed RbCrN3 crystal, from Alexandria.

Lattice parameters (Å, degrees): 3.908 3.908 3.908 90.00 90.00 90.00
Element x y z (fractional)
Rb1 0.000 0.000 0.000
Cr1 0.500 0.500 0.500
N1 0.000 0.500 0.500
N2 0.500 0.000 0.500
N3 0.500 0.500 0.000

Results
Formation energy (no corrections)   3.58 eV per formula unit
Space group   Pm-3m
Crystal system   cubic

---

In the order shown, the computed electronic total energy values come out to -3.64; -2.22; -7.69; -4.01; -5.76; -3.59; -4.56; -5.91; -2.55; -3.16; -5.03; -6.40 eV per atom.